Here is an optimized crystal structure of YCdHg2 from OQMD via LeMat-Bulk. Energies are from PBE.

Structure (extended XYZ):
```
16
Lattice="-2.6725 0.6008 -6.1917 -5.5417 -3.3630 2.0656 -3.5698 7.2616 2.2454" Properties=species:S:1:pos:R:3 pbc="T T T"
Cd -6.1580 -2.0712 -3.0867
Cd -3.8346 2.9383 0.0983
Cd -7.9494 1.5610 -1.9791
Cd -5.6260 6.5705 1.2059
Hg -2.2253 2.1046 -2.5344
Hg -4.9915 0.4259 -1.5033
Hg -6.3417 0.7427 -4.5915
Hg -9.1081 -0.9361 -3.5603
Hg -2.6759 5.4354 1.6796
Hg -5.4423 3.7566 2.7107
Hg -6.7924 4.0735 -0.3774
Hg -9.5587 2.3948 0.6536
Y -3.3975 -0.3884 -4.1454
Y -4.8167 -2.3738 0.0192
Y -6.6170 1.2603 1.1059
Y -5.1670 3.2391 -2.9867
```

Output
- M_tot (μB per formula unit) = 0.0
- formation energy from the elements (eV per atom) = -0.334
- raw total energy (eV per atom) = -2.323



Here is an optimized crystal structure of Li4CdPbAu2 from OQMD via LeMat-Bulk. Energies are from PBE.

Structure (extended XYZ):
```
8
Lattice="-1.9014 -3.8754 1.4980 4.1512 -1.8408 0.5068 0.2552 2.3107 6.3018" Properties=species:S:1:pos:R:3 pbc="T T T"
Au -0.8841 -1.3343 2.3946
Au 2.2642 0.7869 4.9096
Cd 1.2525 -1.7028 4.1533
Li 1.1249 -2.8581 1.0024
Li 2.1435 -0.3060 1.9290
Li 0.1276 1.1554 3.1509
Li -0.7633 -0.2414 5.3752
Pb 0.0000 0.0000 0.0000
```

Output
- raw total energy (eV per atom) = -2.754



Here is an optimized crystal structure of KLaTh from OQMD via LeMat-Bulk. Energies are from PBE.

Structure (extended XYZ):
```
3
Lattice="4.9102 -2.6287 0.5918 0.6829 -3.7719 4.0837 0.4331 -5.4408 -1.2570" Properties=species:S:1:pos:R:3 pbc="T T T"
K 1.5065 -2.9604 0.8546
La 0.0000 0.0000 0.0000
Th 4.5196 -8.8811 2.5639
```

Output
- M_tot (μB per formula unit) = 0.1
- excess energy over the best structure of this formula in the dataset (meV per atom) = 0
- raw total energy (eV per atom) = -3.214



Here is an optimized crystal structure of NdGaAsPd2 from OQMD via LeMat-Bulk. Energies are from PBE.

Structure (extended XYZ):
```
10
Lattice="4.5502 0.0000 0.0000 0.0000 4.5502 0.0000 0.0000 0.0000 9.5713" Properties=species:S:1:pos:R:3 pbc="T T T"
As 0.0000 0.0000 0.0000
As 2.2751 2.2751 0.0000
Ga 2.2751 0.0000 3.6488
Ga 0.0000 2.2751 5.9224
Nd 0.0000 2.2751 2.3162
Nd 2.2751 0.0000 7.2551
Pd 2.2751 0.0000 1.1590
Pd 0.0000 0.0000 4.7856
Pd 2.2751 2.2751 4.7856
Pd 0.0000 2.2751 8.4123
```

Output
- M_tot (μB per formula unit) = 0.0
- excess energy over the best structure of this formula in the dataset (meV per atom) = 88
- raw total energy (eV per atom) = -5.375



Here is an optimized crystal structure of Mg2Tc from OQMD via LeMat-Bulk. Energies are from PBE.

Structure (extended XYZ):
```
12
Lattice="-4.6173 -14.9307 4.5417 1.0570 0.4858 2.6716 -4.0293 1.6403 1.2960" Properties=species:S:1:pos:R:3 pbc="T T T"
Mg -0.0760 -0.2456 0.0747
Mg -1.5124 -4.8905 1.4876
Mg -1.8562 -7.4685 3.6815
Mg -3.2923 -12.1122 5.0940
Mg -2.5546 -0.9259 1.1791
Mg -3.9907 -5.5696 2.5917
Mg -4.3345 -8.1476 4.7855
Mg -5.7709 -12.7925 6.1984
Tc -3.1547 -10.2011 3.1030
Tc -0.3178 -2.4938 2.1683
Tc -5.5291 -10.5443 4.1049
Tc -2.6922 -2.8370 3.1701
```

Output
- M_tot (μB per formula unit) = 0.0
- excess energy over the best structure of this formula in the dataset (meV per atom) = 44
- raw total energy (eV per atom) = -4.297



Here is an optimized crystal structure of HoMgRe from OQMD via LeMat-Bulk. Energies are from PBE.

Structure (extended XYZ):
```
3
Lattice="0.0000 3.3613 3.3613 3.3613 0.0000 3.3613 3.3613 3.3613 0.0000" Properties=species:S:1:pos:R:3 pbc="T T T"
Ho 0.0000 0.0000 0.0000
Mg 1.6807 1.6807 1.6807
Re 5.0420 5.0420 5.0420
```

Output
- M_tot (μB per formula unit) = 1.9
- raw total energy (eV per atom) = -4.869



Here is an optimized crystal structure of Gd2Te2O5 from OQMD via LeMat-Bulk. Energies are from PBE.

Structure (extended XYZ):
```
9
Lattice="-2.4790 6.0938 -2.9703 -3.5390 -2.0083 -1.1666 -1.8113 1.0556 3.6774" Properties=species:S:1:pos:R:3 pbc="T T T"
Gd 0.0000 0.0000 0.0000
Gd -1.2395 3.0469 -1.4851
O -2.4551 0.6812 -1.4048
O -3.5629 3.4043 -2.7321
O -1.5912 2.2132 1.0172
O -2.6990 4.9363 -0.3101
O -3.9146 2.5706 -0.2297
Te -3.1783 0.7606 0.6525
Te -4.6509 4.3805 -1.1119
```

Output
- M_tot (μB per formula unit) = 0.0
- excess energy over the best structure of this formula in the dataset (meV per atom) = 676
- raw total energy (eV per atom) = -5.782



Here is an optimized crystal structure of FePd3 from OQMD via LeMat-Bulk. Energies are from PBE.

Structure (extended XYZ):
```
4
Lattice="-0.8620 3.4424 1.6161 -3.3906 -1.4460 1.2717 1.7135 -1.1186 3.2968" Properties=species:S:1:pos:R:3 pbc="T T T"
Fe 0.0000 0.0000 0.0000
Pd -2.1263 0.9982 1.4439
Pd 0.4258 1.1619 2.4564
Pd -0.8386 -1.2823 2.2842
```

Output
- M_tot (μB per formula unit) = 4.3
- formation energy from the elements (eV per atom) = -0.109
- raw total energy (eV per atom) = -6.068



Here is an optimized crystal structure of KZr4InC2 from OQMD via LeMat-Bulk. Energies are from PBE.

Structure (extended XYZ):
```
8
Lattice="-0.9829 2.2674 -2.3044 -2.2339 -1.2375 2.2126 3.7476 12.6746 10.8725" Properties=species:S:1:pos:R:3 pbc="T T T"
C -0.5709 3.9029 1.6064
C 1.5187 10.9699 7.6687
In 0.0000 0.0000 0.0000
K 0.0569 6.2681 6.1432
Zr -1.2596 1.8155 2.3237
Zr 1.0987 3.7160 3.1876
Zr 2.6489 8.9587 7.6849
Zr 1.3734 10.7207 9.9627
```

Output
- M_tot (μB per formula unit) = 0.9
- raw total energy (eV per atom) = -7.461



Here is an optimized crystal structure of LiAg3WSe4 from OQMD via LeMat-Bulk. Energies are from PBE.

Structure (extended XYZ):
```
9
Lattice="-0.2419 0.9748 -6.1546 -5.9466 -1.8767 -0.0635 -1.8622 5.8665 1.0024" Properties=species:S:1:pos:R:3 pbc="T T T"
Ag -3.0942 -0.4510 -3.1090
Ag -1.0521 3.4206 -2.5761
Ag -3.9044 1.9949 0.4694
Li 0.0000 0.0000 0.0000
Se -2.1528 1.3275 -1.3947
Se -5.0316 0.9080 -4.2873
Se -3.1316 4.5100 -3.7915
Se -5.7853 3.1835 -0.9580
W -4.0253 2.4823 -2.6079
```

Output
- M_tot (μB per formula unit) = 2.0
- raw total energy (eV per atom) = -4.276



Here is an optimized crystal structure of In2AuO4 from OQMD via LeMat-Bulk. Energies are from PBE.

Structure (extended XYZ):
```
14
Lattice="4.6389 -4.6404 0.0000 -4.6389 0.0000 -4.6404 4.6389 4.6404 0.0000" Properties=species:S:1:pos:R:3 pbc="T T T"
Au 0.0000 0.0000 0.0000
Au 2.3195 -2.3202 -2.3202
In -1.1597 -1.1601 -3.4803
In 1.1597 1.1601 -3.4803
In 5.7986 -1.1601 -1.1601
In 3.4792 1.1601 -1.1601
O -1.0270 1.0267 -3.6137
O 3.6119 -1.0267 -1.0267
O 1.0270 -1.0267 -3.6137
O 1.2924 1.2935 -1.2935
O 5.6660 1.0267 -1.0267
O 1.2924 3.3469 -3.3469
O 3.3465 1.2935 -3.3469
O 3.3465 3.3469 -1.2935
```

Output
- raw total energy (eV per atom) = -4.985



Here is an optimized crystal structure of CsNaRe from OQMD via LeMat-Bulk. Energies are from PBE.

Structure (extended XYZ):
```
3
Lattice="-1.9016 -4.1833 -2.8741 -5.2932 -1.1624 0.0835 -3.0402 0.8921 -4.3975" Properties=species:S:1:pos:R:3 pbc="T T T"
Cs -2.5587 -1.1134 -1.7970
Na -7.6762 -3.3402 -5.3910
Re 0.0000 0.0000 0.0000
```

Output
- M_tot (μB per formula unit) = 3.0
- excess energy over the best structure of this formula in the dataset (meV per atom) = 0
- raw total energy (eV per atom) = -2.818



Here is an optimized crystal structure of AcFeCo from OQMD via LeMat-Bulk. Energies are from PBE.

Structure (extended XYZ):
```
3
Lattice="0.0000 3.1375 3.1375 3.1375 0.0000 3.1375 3.1375 3.1375 0.0000" Properties=species:S:1:pos:R:3 pbc="T T T"
Ac 0.0000 0.0000 0.0000
Co 1.5687 1.5687 1.5687
Fe 4.7062 4.7062 4.7062
```

Output
- M_tot (μB per formula unit) = 2.0
- formation energy from the elements (eV per atom) = 1.176
- excess energy over the best structure of this formula in the dataset (meV per atom) = 559
- raw total energy (eV per atom) = -5.331



Here is an optimized crystal structure of MgTaReGe from OQMD via LeMat-Bulk. Energies are from PBE.

Structure (extended XYZ):
```
4
Lattice="0.0000 3.1641 3.1641 3.1641 0.0000 3.1641 3.1641 3.1641 0.0000" Properties=species:S:1:pos:R:3 pbc="T T T"
Ge 3.1641 3.1641 3.1641
Mg 4.7462 4.7462 4.7462
Re 1.5821 1.5821 1.5821
Ta 0.0000 0.0000 0.0000
```

Output
- M_tot (μB per formula unit) = 0.0
- excess energy over the best structure of this formula in the dataset (meV per atom) = 0
- raw total energy (eV per atom) = -7.566



Here is an optimized crystal structure of CoSbOsW from OQMD via LeMat-Bulk. Energies are from PBE.

Structure (extended XYZ):
```
4
Lattice="0.0000 3.1382 3.1382 3.1382 0.0000 3.1382 3.1382 3.1382 0.0000" Properties=species:S:1:pos:R:3 pbc="T T T"
Co 4.7073 4.7073 4.7073
Os 1.5691 1.5691 1.5691
Sb 0.0000 0.0000 0.0000
W 3.1382 3.1382 3.1382
```

Output
- M_tot (μB per formula unit) = 1.5
- excess energy over the best structure of this formula in the dataset (meV per atom) = 0
- raw total energy (eV per atom) = -8.311



Here is an optimized crystal structure of RbLaTmTe3 from OQMD via LeMat-Bulk. Energies are from PBE.

Structure (extended XYZ):
```
24
Lattice="11.8294 0.0000 0.0000 0.0000 5.2773 0.0000 0.0000 0.0000 14.4151" Properties=species:S:1:pos:R:3 pbc="T T T"
La 11.5546 3.9580 2.2976
La 5.6399 3.9580 4.9099
La 6.1895 1.3193 9.5051
La 0.2748 1.3193 12.1175
Rb 4.0382 3.9580 0.3715
Rb 9.9529 3.9580 6.8360
Rb 1.8765 1.3193 7.5791
Rb 7.7911 1.3193 14.0435
Te 1.3240 1.3193 0.8010
Te 8.2388 3.9580 2.5402
Te 5.3234 1.3193 2.8130
Te 11.2381 1.3193 4.3945
Te 2.3241 3.9580 4.6674
Te 7.2387 1.3193 6.4065
Te 4.5907 3.9580 8.0086
Te 9.5052 1.3193 9.7477
Te 0.5913 3.9580 10.0206
Te 6.5060 3.9580 11.6021
Te 3.5905 1.3193 11.8749
Te 10.5054 3.9580 13.6141
Tm 2.4223 1.3193 3.4510
Tm 8.3370 1.3193 3.7565
Tm 3.4924 3.9580 10.6586
Tm 9.4071 3.9580 10.9641
```

Output
- M_tot (μB per formula unit) = 0.0
- excess energy over the best structure of this formula in the dataset (meV per atom) = 0
- raw total energy (eV per atom) = -4.594



Here is an optimized crystal structure of Hf2InGaCo2Ir2 from OQMD via LeMat-Bulk. Energies are from PBE.

Structure (extended XYZ):
```
8
Lattice="-2.1665 2.4753 -2.9915 0.5417 -3.1995 -3.0397 -5.4935 -2.6369 1.7966" Properties=species:S:1:pos:R:3 pbc="T T T"
Co -2.4009 0.6052 -1.0648
Co -3.9050 -3.6042 -0.1542
Ga 0.0000 0.0000 0.0000
Hf -0.8124 -0.3621 -3.0156
Hf -2.7467 -1.3185 0.8983
In -3.5591 -1.6805 -2.1173
Ir -1.0500 -2.2338 -1.0879
Ir -5.2559 -0.7653 -0.1312
```

Output
- M_tot (μB per formula unit) = 2.0
- raw total energy (eV per atom) = -7.748



Here is an optimized crystal structure of Y4Hf2Ga3N3 from OQMD via LeMat-Bulk. Energies are from PBE.

Structure (extended XYZ):
```
24
Lattice="-4.5009 3.6878 1.1934 -5.5832 -2.0270 -0.0397 4.4889 -3.7309 13.3502" Properties=species:S:1:pos:R:3 pbc="T T T"
Ga -5.2982 -0.1500 3.9860
Ga -3.5452 1.8759 4.3413
Ga -2.6442 -0.5965 3.7259
Ga -2.9511 -1.4736 10.7780
Ga -2.0501 -3.9460 10.1627
Ga -0.2971 -1.9201 10.5180
Hf -3.9816 0.9389 1.6496
Hf -3.6689 -0.1442 6.3949
Hf -1.9264 -1.9258 8.1091
Hf -1.6137 -3.0090 12.8543
N -2.2505 1.8439 0.5967
N -5.5745 2.2968 0.9553
N -4.5096 -0.6360 0.1985
N -3.8365 -2.2427 7.0534
N -0.5472 -2.8789 6.6553
N -1.7587 0.1726 7.4506
Y -0.6464 0.2592 1.5751
Y -7.3912 1.4334 2.3620
Y -0.2584 -0.6342 5.6834
Y -7.0265 0.4170 6.4438
Y 1.4313 -2.4870 8.0601
Y -5.3369 -1.4359 8.8205
Y 1.7959 -3.5034 12.1419
Y -4.9489 -2.3293 12.9289
```

Output
- M_tot (μB per formula unit) = 0.0
- raw total energy (eV per atom) = -7.781



Here is an optimized crystal structure of PmInFe from OQMD via LeMat-Bulk. Energies are from PBE.

Structure (extended XYZ):
```
3
Lattice="0.0000 3.3267 3.3267 3.3267 0.0000 3.3267 3.3267 3.3267 0.0000" Properties=species:S:1:pos:R:3 pbc="T T T"
Fe 0.0000 0.0000 0.0000
In 1.6633 1.6633 1.6633
Pm 4.9900 4.9900 4.9900
```

Output
- M_tot (μB per formula unit) = 1.6
- excess energy over the best structure of this formula in the dataset (meV per atom) = 0
- raw total energy (eV per atom) = -5.097



Here is an optimized crystal structure of Y3Mg3Hg2Au from OQMD via LeMat-Bulk. Energies are from PBE.

Structure (extended XYZ):
```
9
Lattice="-2.8212 6.8551 2.1456 -4.3346 -6.3465 0.6989 1.4954 -0.5953 3.8683" Properties=species:S:1:pos:R:3 pbc="T T T"
Au 0.0000 0.0000 0.0000
Hg -2.5780 2.1569 3.5975
Hg -3.0824 -2.2436 3.1153
Mg -1.3887 4.8934 3.5589
Mg -0.9893 -0.1742 2.6246
Mg -2.5347 -5.1036 2.4634
Y -1.1433 2.7780 0.8695
Y -1.7566 -2.5719 0.2832
Y -4.2559 0.3025 1.6917
```

Output
- M_tot (μB per formula unit) = 0.0
- raw total energy (eV per atom) = -3.621



Here is an optimized crystal structure of RbTaBeNi from OQMD via LeMat-Bulk. Energies are from PBE.

Structure (extended XYZ):
```
4
Lattice="0.0000 3.2245 3.2245 3.2245 0.0000 3.2245 3.2245 3.2245 0.0000" Properties=species:S:1:pos:R:3 pbc="T T T"
Be 4.8367 4.8367 4.8367
Ni 3.2245 3.2245 3.2245
Rb 1.6122 1.6122 1.6122
Ta 0.0000 0.0000 0.0000
```

Output
- M_tot (μB per formula unit) = 0.0
- excess energy over the best structure of this formula in the dataset (meV per atom) = 207
- raw total energy (eV per atom) = -3.845



Here is an optimized crystal structure of KHoB4 from OQMD via LeMat-Bulk. Energies are from PBE.

Structure (extended XYZ):
```
6
Lattice="-1.5737 2.9632 4.1948 1.5737 -2.9632 4.1948 1.5737 2.9632 -4.1948" Properties=species:S:1:pos:R:3 pbc="T T T"
B 0.0000 1.8290 2.1745
B 1.5737 -1.1342 2.0202
B 0.0000 4.0974 2.1745
B 1.5737 1.1342 2.0202
Ho 0.0000 0.0000 0.0000
K 0.0000 0.0000 4.1948
```

Output
- M_tot (μB per formula unit) = 0.0
- excess energy over the best structure of this formula in the dataset (meV per atom) = 190
- raw total energy (eV per atom) = -5.205



Here is an optimized crystal structure of LiCuTeWS2 from OQMD via LeMat-Bulk. Energies are from PBE.

Structure (extended XYZ):
```
12
Lattice="1.6180 6.1188 -2.6658 -4.1818 -5.4147 0.5977 -4.6389 4.3822 7.2427" Properties=species:S:1:pos:R:3 pbc="T T T"
Cu -5.1420 -3.9223 2.2961
Cu -2.0607 9.0086 2.8786
Li -1.3131 3.6918 0.1416
Li -5.8896 1.3945 5.0330
S -3.7106 -3.6760 0.6055
S -5.4835 -2.0013 3.3734
S -1.7192 7.0875 1.8012
S -3.4920 8.7622 4.5692
Te -3.1181 0.1025 1.1573
Te -4.0846 4.9838 4.0174
W -1.2819 0.3520 -1.0340
W -3.6013 2.5431 2.5873
```

Output
- M_tot (μB per formula unit) = 0.0
- raw total energy (eV per atom) = -5.355



Here is an optimized crystal structure of ZrAlNiC from OQMD via LeMat-Bulk. Energies are from PBE.

Structure (extended XYZ):
```
8
Lattice="-2.8880 1.8164 -1.5440 0.6285 -3.5906 -0.8583 -5.6922 -2.7641 7.3953" Properties=species:S:1:pos:R:3 pbc="T T T"
Al -2.8000 -1.3597 3.6378
Al -5.6461 -2.7417 7.3354
C -2.6904 -0.4592 -0.0493
C -4.3643 -3.6435 3.8770
Ni -3.8872 -1.0403 1.5057
Ni -5.5611 -4.2247 5.4319
Zr -1.7130 -2.3560 0.4323
Zr -5.7312 -1.9358 3.9014
```

Output
- M_tot (μB per formula unit) = 0.0
- excess energy over the best structure of this formula in the dataset (meV per atom) = 120
- raw total energy (eV per atom) = -6.791